! PBE+U SrPaFeO6, relaxed; values from VASP
! Uncorrected energy   -66.37 eV per cell
! M_tot   3.0 μB per formula unit
&SYSTEM
  ibrav = 0, nat = 9, ntyp = 4
/
ATOMIC_SPECIES
O 16.00 O.upf
Sr 87.62 Sr.upf
Fe 55.84 Fe.upf
Pa 231.04 Pa.upf
CELL_PARAMETERS angstrom
-4.669 1.101 -0.377
-0.777 -4.427 -3.310
-0.568 -0.516 5.529
ATOMIC_POSITIONS angstrom
O -2.285 -3.203 2.889
O -3.673 0.411 1.323
O -1.611 -1.065 0.792
O -4.391 -2.567 1.523
O -4.194 -0.861 4.067
O -1.677 -0.326 3.771
Sr -3.042 -2.572 -0.552
Fe -2.334 0.551 -0.188
Pa -0.637 -1.819 2.582